Entry 1:
# Y2In3Cu (PBE, relaxed)
# - ΔH_f (0 K): -406 meV/atom
# - Density of states at the Fermi level: 3.6 states/eV/f.u.
# - Final energy: -4.61 eV/atom
# - Density: 6.77 g cm⁻³
data_Y2In3Cu
_chemical_formula_sum 'Y2 In3 Cu1'
_cell_length_a 3.629
_cell_length_b 4.765
_cell_length_c 8.313
_cell_angle_alpha 90.00
_cell_angle_beta 90.00
_cell_angle_gamma 90.00
_symmetry_space_group_name_H-M 'P m m 2'
_symmetry_Int_Tables_number 25
loop_
_symmetry_equiv_pos_as_xyz
'x,y,z'
'-x,-y,z'
'-x,y,z'
'x,-y,z'
loop_
_atom_site_label
_atom_site_fract_x
_atom_site_fract_y
_atom_site_fract_z
Y1 0.000 0.000 0.000
Y2 0.000 0.500 0.479
In1 0.500 0.000 0.632
In2 0.500 0.500 0.170
In3 0.500 0.500 0.824
Cu1 0.500 0.000 0.313

---

Entry 2:
# Y7ErSc4 (PBE, relaxed)
# - ΔH_f (0 K): 28 meV/atom
# - Density of states at the Fermi level: 18.9 states/eV/f.u.
# - Final energy: -6.23 eV/atom
# - Density: 4.56 g cm⁻³
data_Y7ErSc4
_chemical_formula_sum 'Y7 Er1 Sc4'
_cell_length_a 6.060
_cell_length_b 6.987
_cell_length_c 8.578
_cell_angle_alpha 90.00
_cell_angle_beta 76.35
_cell_angle_gamma 89.98
_symmetry_space_group_name_H-M 'P -1'
_symmetry_Int_Tables_number 2
loop_
_symmetry_equiv_pos_as_xyz
'x,y,z'
'-x,-y,-z'
loop_
_atom_site_label
_atom_site_fract_x
_atom_site_fract_y
_atom_site_fract_z
Y1 0.000 0.000 0.000
Y2 0.222 0.501 0.337
Y3 0.286 0.243 0.660
Y4 0.496 0.754 0.993
Er1 0.000 0.500 0.000
Sc1 0.215 0.000 0.341
Sc2 0.273 0.755 0.663

---

Entry 3:
# Tb3Ce5N8 (PBE, relaxed)
# - Density of states at the Fermi level: 11.2 states/eV/f.u.
# - Final energy: -8.44 eV/atom
# - Density: 8.52 g cm⁻³
data_Tb3Ce5N8
_chemical_formula_sum 'Tb9 Ce15 N24'
_cell_length_a 7.0820
_cell_length_b 7.0820
_cell_length_c 17.3568
_cell_angle_alpha 90.00
_cell_angle_beta 90.00
_cell_angle_gamma 120.00
_symmetry_space_group_name_H-M 'R -3 m'
_symmetry_Int_Tables_number 166
_symmetry_space_group_name_Hall '-R 3 2"'
loop_
_atom_site_label
_atom_site_fract_x
_atom_site_fract_y
_atom_site_fract_z
Tb1 0.0000 0.5000 0.0000
Ce1 0.0000 0.0000 0.0000
Ce2 0.0000 0.0000 0.5000
Ce3 0.0000 0.5000 0.5000
N1 0.0000 0.0000 0.2494
N2 0.0006 0.5003 0.2503

---

no.,magnetization (μB per formula unit)
1,0.00
2,0.00
3,1.24